(1)
Cs3CdAu2: optimized geometry, PBE.

Properties
M_tot	0.000	μB per formula unit
crystal system	orthorhombic

```
data_Cs3CdAu2
_cell_length_a 14.2464
_cell_length_b 5.1507
_cell_length_c 15.0441
_cell_angle_alpha 90.00
_cell_angle_beta 90.00
_cell_angle_gamma 90.00
_symmetry_space_group_name_H-M 'P n m a'
_symmetry_Int_Tables_number 62
loop_
_symmetry_equiv_pos_as_xyz
'x,y,z'
'-x,-y,-z'
'-x+1/2,-y,z+1/2'
'x+1/2,y,-z+1/2'
'x+1/2,-y+1/2,-z+1/2'
'-x+1/2,y+1/2,z+1/2'
'-x,y+1/2,-z'
'x,-y+1/2,z'
loop_
_atom_site_label
_atom_site_fract_x
_atom_site_fract_y
_atom_site_fract_z
Cs1 0.0633 0.2500 0.1169
Cs2 0.1257 0.7500 0.5541
Cs3 0.1865 0.2500 0.7991
Cd1 0.1301 0.2500 0.3628
Au1 0.0505 0.7500 0.3200
Au2 0.1945 0.7500 0.9707
```

(2)
Cs3Cd6Au5: optimized geometry, PBE.

Properties
M_tot	0.000	μB per formula unit
crystal system	orthorhombic

```
data_Cs3Cd6Au5
_cell_length_a 4.8833
_cell_length_b 14.4538
_cell_length_c 11.9375
_cell_angle_alpha 90.00
_cell_angle_beta 90.00
_cell_angle_gamma 90.00
_symmetry_space_group_name_H-M 'P m m n'
_symmetry_Int_Tables_number 59
loop_
_symmetry_equiv_pos_as_xyz
'x,y,z'
'-x,-y,-z'
'-x+1/2,-y+1/2,z'
'x+1/2,y+1/2,-z'
'x+1/2,-y,-z'
'-x+1/2,y,z'
'-x,y+1/2,-z'
'x,-y+1/2,z'
loop_
_atom_site_label
_atom_site_fract_x
_atom_site_fract_y
_atom_site_fract_z
Cs1 0.2500 0.1051 0.2499
Cs2 0.2500 0.7500 0.2455
Cd1 0.2500 0.0499 0.9127
Cd2 0.2500 0.2500 0.5329
Cd3 0.2500 0.2500 0.9950
Cd4 0.2500 0.5683 0.4881
Au1 0.2500 0.0736 0.6624
Au2 0.2500 0.6402 0.9865
Au3 0.2500 0.7500 0.5781
```

(3)
Cs2Cd3Au4: optimized geometry, PBE.

Properties
M_tot	0.000	μB per formula unit
crystal system	orthorhombic

```
data_Cs2Cd3Au4
_cell_length_a 6.8225
_cell_length_b 11.9852
_cell_length_c 26.3024
_cell_angle_alpha 90.00
_cell_angle_beta 90.00
_cell_angle_gamma 90.00
_symmetry_space_group_name_H-M 'F d d d'
_symmetry_Int_Tables_number 70
loop_
_symmetry_equiv_pos_as_xyz
'x,y,z'
'-x,-y,-z'
'-x+1/4,-y+1/4,z'
'x+1/4,y+1/4,-z'
'x,-y+1/4,-z+1/4'
'-x,y+1/4,z+1/4'
'-x+1/4,y,-z+1/4'
'x+1/4,-y,z+1/4'
'x,y+1/2,z+1/2'
'-x,-y+1/2,-z+1/2'
'-x+1/4,-y+3/4,z+1/2'
'x+1/4,y+3/4,-z+1/2'
'x,-y+3/4,-z+3/4'
'-x,y+3/4,z+3/4'
'-x+1/4,y+1/2,-z+3/4'
'x+1/4,-y+1/2,z+3/4'
'x+1/2,y,z+1/2'
'-x+1/2,-y,-z+1/2'
'-x+3/4,-y+1/4,z+1/2'
'x+3/4,y+1/4,-z+1/2'
'x+1/2,-y+1/4,-z+3/4'
'-x+1/2,y+1/4,z+3/4'
'-x+3/4,y,-z+3/4'
'x+3/4,-y,z+3/4'
'x+1/2,y+1/2,z'
'-x+1/2,-y+1/2,-z'
'-x+3/4,-y+3/4,z'
'x+3/4,y+3/4,-z'
'x+1/2,-y+3/4,-z+1/4'
'-x+1/2,y+3/4,z+1/4'
'-x+3/4,y+1/2,-z+1/4'
'x+3/4,-y+1/2,z+1/4'
loop_
_atom_site_label
_atom_site_fract_x
_atom_site_fract_y
_atom_site_fract_z
Cs1 0.1250 0.1250 0.0458
Cd1 0.1250 0.1250 0.3571
Cd2 0.1250 0.1250 0.6250
Au1 0.0420 0.2974 0.7014
```

(4)
CsCd2Au: optimized geometry, PBE.

Properties
M_tot	0.000	μB per formula unit
crystal system	trigonal

```
data_CsCd2Au
_cell_length_a 4.9096
_cell_length_b 4.9096
_cell_length_c 20.2386
_cell_angle_alpha 90.00
_cell_angle_beta 90.00
_cell_angle_gamma 120.00
_symmetry_space_group_name_H-M 'R -3 m'
_symmetry_Int_Tables_number 166
_symmetry_space_group_name_Hall '-R 3 2"'
loop_
_atom_site_label
_atom_site_fract_x
_atom_site_fract_y
_atom_site_fract_z
Cs1 0.0000 0.0000 0.0000
Cd1 0.0000 0.0000 0.1935
Au1 0.0000 0.0000 0.5000
```

(5)
Cs2Cd4Au3: optimized geometry, PBE.

Properties
M_tot	0.000	μB per formula unit
crystal system	orthorhombic

```
data_Cs2Cd4Au3
_cell_length_a 5.9627
_cell_length_b 19.6344
_cell_length_c 9.2686
_cell_angle_alpha 90.00
_cell_angle_beta 90.00
_cell_angle_gamma 90.00
_symmetry_space_group_name_H-M 'C m c e'
_symmetry_Int_Tables_number 64
_symmetry_space_group_name_Hall '-C 2ac 2'
loop_
_atom_site_label
_atom_site_fract_x
_atom_site_fract_y
_atom_site_fract_z
Cs1 0.0000 0.1000 0.1192
Cd1 0.0000 0.2256 0.4888
Cd2 0.2500 0.0730 0.7500
Au1 0.0000 0.0000 0.5000
Au2 0.2500 0.2216 0.7500
```

(6)
Cs3Cd5Au3: optimized geometry, PBE.

Properties
M_tot	0.000	μB per formula unit
crystal system	hexagonal

```
data_Cs3Cd5Au3
_cell_length_a 8.6069
_cell_length_b 8.6069
_cell_length_c 6.8562
_cell_angle_alpha 90.00
_cell_angle_beta 90.00
_cell_angle_gamma 120.00
_symmetry_space_group_name_H-M 'P -6 2 m'
_symmetry_Int_Tables_number 189
_symmetry_space_group_name_Hall 'P -6 -2'
loop_
_atom_site_label
_atom_site_fract_x
_atom_site_fract_y
_atom_site_fract_z
Cs1 0.0000 0.6673 0.0000
Cd1 0.0000 0.3033 0.5000
Cd2 0.3333 0.6667 0.5000
Au1 0.0000 0.6552 0.5000
```

no.,formation enthalpy at 0 K (meV per atom),uncorrected energy (eV per atom)
1,-249.8,-1.922
2,-191.4,-1.937
3,-133.7,-2.085
4,-201.1,-1.691
5,-153.1,-1.842
6,-169.0,-1.712